Below is a relaxed structure of MnTeSeI2, with properties calculated at the PBE-GGA level.

Unit cell a=5.2435 b=5.2435 c=4.9824 alpha=90.00 beta=90.00 gamma=90.00
Atoms (fractional coordinates):
Mn1 0.0000 0.0000 0.0000
Te1 0.0000 0.0000 0.5000
Se1 0.5000 0.5000 0.5000
I1 0.0000 0.5000 0.0000
I2 0.5000 0.0000 0.0000

energy relative to the elements, uncorrected: 2.95 eV/f.u.
space-group type: P4/mmm (123)


Below is a relaxed structure of Gd2BeCu, with properties calculated at the PBE-GGA level.

Unit cell a=3.4817 b=3.4817 c=6.8982 alpha=90.00 beta=90.00 gamma=90.00
Atoms (fractional coordinates):
Gd1 0.0000 0.0000 0.2427
Gd2 0.0000 0.0000 0.7573
Be1 0.5000 0.5000 0.0000
Cu1 0.5000 0.5000 0.5000

energy of formation from the pure elements: -0.2 eV per formula unit
space-group type: P4/mmm (123)


Number 1: energy relative to the lowest polymorph listed for this composition 0.000 eV per atom. Number 2: energy relative to the lowest polymorph listed for this composition 0.000 eV per atom.